MgPbBr | GGA-PBE | relaxed Values from VASP.

Uncorrected formation energy (meV/atom): -215
Space-group type: No. 187
Crystal system: hexagonal
Energy above the lowest structure with this stoichiometry (eV per atom): 0.375
Total DFT energy (no corrections) (eV for the cell shown): -7.62

Cell and atoms, written as Quantum ESPRESSO input:
```
&SYSTEM
  ibrav = 0, nat = 3, ntyp = 3
/
ATOMIC_SPECIES
Mg 24.30 Mg.upf
Pb 207.20 Pb.upf
Br 79.90 Br.upf
CELL_PARAMETERS angstrom
5.1692 0.0000 0.0000
-2.5846 4.4767 0.0000
0.0000 0.0000 3.5299
ATOMIC_POSITIONS angstrom
Mg 0.0000 0.0000 0.0000
Pb 2.5846 1.4922 1.7650
Br 0.0000 2.9845 0.0000
```

***

Mg5PbBr12 | GGA-PBE | relaxed Values from VASP.

Uncorrected formation energy (meV/atom): -1374
Space-group type: No. 12
Crystal system: monoclinic
Total DFT energy (no corrections) (eV for the cell shown): -56.49

Cell and atoms, written as Quantum ESPRESSO input:
```
&SYSTEM
  ibrav = 0, nat = 18, ntyp = 3
/
ATOMIC_SPECIES
Mg 24.30 Mg.upf
Pb 207.20 Pb.upf
Br 79.90 Br.upf
CELL_PARAMETERS angstrom
3.4505 -5.9797 0.0000
3.4505 5.9797 0.0000
-0.0127 0.0000 14.2894
ATOMIC_POSITIONS angstrom
Mg 0.0000 0.0000 0.0000
Mg 3.4442 3.9868 7.1447
Mg 3.4505 1.9932 0.0000
Mg 3.4505 -1.9932 0.0000
Mg 3.4442 -3.9868 7.1447
Pb 3.4442 0.0000 7.1447
Br 4.5882 -3.9873 12.8201
Br 2.3002 3.9873 1.4693
Br 0.8847 0.0000 8.7396
Br 2.1649 2.2170 5.5505
Br 4.5882 3.9873 12.8201
Br 2.3012 0.0000 1.4717
Br 2.1649 -2.2170 5.5505
Br 4.7235 2.2170 8.7388
Br 4.5872 0.0000 12.8176
Br 2.3002 -3.9873 1.4693
Br 4.7235 -2.2170 8.7388
Br 6.0037 0.0000 5.5497
```

***

Mg2Pb2Br | GGA-PBE | relaxed Values from VASP.

Uncorrected formation energy (meV/atom): -168
Space-group type: No. 127
Crystal system: tetragonal
Total DFT energy (no corrections) (eV for the cell shown): -26.24

Cell and atoms, written as Quantum ESPRESSO input:
```
&SYSTEM
  ibrav = 0, nat = 10, ntyp = 3
/
ATOMIC_SPECIES
Mg 24.30 Mg.upf
Pb 207.20 Pb.upf
Br 79.90 Br.upf
CELL_PARAMETERS angstrom
8.4044 0.0000 0.0000
0.0000 8.4044 0.0000
0.0000 0.0000 3.9748
ATOMIC_POSITIONS angstrom
Mg 1.4557 2.7465 0.0000
Mg 2.7465 6.9487 0.0000
Mg 5.6579 1.4557 0.0000
Mg 6.9487 5.6579 0.0000
Pb 1.0774 5.2796 1.9874
Pb 3.1248 1.0774 1.9874
Pb 5.2796 7.3271 1.9874
Pb 7.3271 3.1248 1.9874
Br 0.0000 0.0000 0.0000
Br 4.2022 4.2022 0.0000
```

***

MgPb3Br | GGA-PBE | relaxed Values from VASP.

Uncorrected formation energy (meV/atom): 241
Space-group type: No. 221
Crystal system: cubic
Energy above the lowest structure with this stoichiometry (eV per atom): 0.000
Total DFT energy (no corrections) (eV for the cell shown): -13.19

Cell and atoms, written as Quantum ESPRESSO input:
```
&SYSTEM
  ibrav = 0, nat = 5, ntyp = 3
/
ATOMIC_SPECIES
Mg 24.30 Mg.upf
Pb 207.20 Pb.upf
Br 79.90 Br.upf
CELL_PARAMETERS angstrom
5.6142 0.0000 0.0000
0.0000 5.6142 0.0000
0.0000 0.0000 5.6142
ATOMIC_POSITIONS angstrom
Mg 0.0000 0.0000 0.0000
Pb 0.0000 0.0000 2.8071
Pb 0.0000 2.8071 0.0000
Pb 2.8071 0.0000 0.0000
Br 2.8071 2.8071 2.8071
```

***

MgPbBr | GGA-PBE | relaxed Values from VASP.

Uncorrected formation energy (meV/atom): -591
Space-group type: No. 38
Crystal system: orthorhombic
Energy above the lowest structure with this stoichiometry (eV per atom): 0.000
Total DFT energy (no corrections) (eV for the cell shown): -17.50

Cell and atoms, written as Quantum ESPRESSO input:
```
&SYSTEM
  ibrav = 0, nat = 6, ntyp = 3
/
ATOMIC_SPECIES
Mg 24.30 Mg.upf
Pb 207.20 Pb.upf
Br 79.90 Br.upf
CELL_PARAMETERS angstrom
16.5271 0.0000 0.0000
0.0000 1.8104 3.1348
0.0000 -1.8104 3.1348
ATOMIC_POSITIONS angstrom
Mg 0.0000 0.0000 0.0000
Mg 8.2635 0.0000 1.3805
Pb 5.8533 0.0000 5.5612
Pb 10.6738 0.0000 5.5612
Br 1.6951 0.0000 2.0900
Br 14.8320 0.0000 2.0900
```

***

MgPb2Br6 | GGA-PBE | relaxed Values from VASP.

Uncorrected formation energy (meV/atom): -1083
Space-group type: No. 12
Crystal system: monoclinic
Energy above the lowest structure with this stoichiometry (eV per atom): 0.000
Total DFT energy (no corrections) (eV for the cell shown): -28.80

Cell and atoms, written as Quantum ESPRESSO input:
```
&SYSTEM
  ibrav = 0, nat = 9, ntyp = 3
/
ATOMIC_SPECIES
Mg 24.30 Mg.upf
Pb 207.20 Pb.upf
Br 79.90 Br.upf
CELL_PARAMETERS angstrom
7.7140 -2.1113 0.0000
7.7140 2.1113 0.0000
-3.0171 0.0000 10.2535
ATOMIC_POSITIONS angstrom
Mg 0.0000 0.0000 0.0000
Pb 3.1577 0.0000 6.9208
Pb 9.2532 0.0000 3.3327
Br -0.5613 0.0000 2.6050
Br 3.6718 0.0000 3.8106
Br 2.8899 0.0000 9.9133
Br 9.5210 0.0000 0.3402
Br 8.7391 0.0000 6.4429
Br 12.9722 0.0000 7.6485
```

***

MgPbBr | GGA-PBE | relaxed Values from VASP.

Uncorrected formation energy (meV/atom): 30
Space-group type: No. 216
Crystal system: cubic
Energy above the lowest structure with this stoichiometry (eV per atom): 0.621
Total DFT energy (no corrections) (eV for the cell shown): -6.89

Cell and atoms, written as Quantum ESPRESSO input:
```
&SYSTEM
  ibrav = 0, nat = 3, ntyp = 3
/
ATOMIC_SPECIES
Mg 24.30 Mg.upf
Pb 207.20 Pb.upf
Br 79.90 Br.upf
CELL_PARAMETERS angstrom
0.0000 3.6664 3.6664
3.6664 0.0000 3.6664
3.6664 3.6664 0.0000
ATOMIC_POSITIONS angstrom
Mg 0.0000 0.0000 0.0000
Pb 1.8332 1.8332 1.8332
Br 5.4995 5.4995 5.4995
```

***

MgPbBr | GGA-PBE | relaxed Values from VASP.

Uncorrected formation energy (meV/atom): -468
Space-group type: No. 42
Crystal system: orthorhombic
Energy above the lowest structure with this stoichiometry (eV per atom): 0.123
Total DFT energy (no corrections) (eV for the cell shown): -8.38

Cell and atoms, written as Quantum ESPRESSO input:
```
&SYSTEM
  ibrav = 0, nat = 3, ntyp = 3
/
ATOMIC_SPECIES
Mg 24.30 Mg.upf
Pb 207.20 Pb.upf
Br 79.90 Br.upf
CELL_PARAMETERS angstrom
0.0000 3.0266 8.0822
1.8721 0.0000 8.0822
1.8721 3.0266 0.0000
ATOMIC_POSITIONS angstrom
Mg 0.0000 0.0000 0.0000
Pb 1.8721 3.0266 10.6277
Br 1.8721 3.0266 6.3241
```

***

MgPb3Br8 | GGA-PBE | relaxed Values from VASP.

Uncorrected formation energy (meV/atom): -1042
Space-group type: No. 12
Crystal system: monoclinic
Total DFT energy (no corrections) (eV for the cell shown): -38.61

Cell and atoms, written as Quantum ESPRESSO input:
```
&SYSTEM
  ibrav = 0, nat = 12, ntyp = 3
/
ATOMIC_SPECIES
Mg 24.30 Mg.upf
Pb 207.20 Pb.upf
Br 79.90 Br.upf
CELL_PARAMETERS angstrom
7.3363 -4.3416 0.0000
7.3363 4.3416 0.0000
-4.8223 0.0000 7.0883
ATOMIC_POSITIONS angstrom
Mg 0.0000 0.0000 0.0000
Pb 1.2570 2.1708 3.5441
Pb 1.2570 -2.1708 3.5441
Pb 7.3363 0.0000 0.0000
Br 6.2304 2.3945 1.5845
Br 2.2330 0.0000 1.5922
Br 3.6198 2.3945 5.5038
Br 0.0448 0.0000 5.3041
Br 9.8054 0.0000 1.7841
Br 6.2304 -2.3945 1.5845
Br 7.6173 0.0000 5.4960
Br 3.6198 -2.3945 5.5038
```

***

MgPb4Br | GGA-PBE | relaxed Values from VASP.

Uncorrected formation energy (meV/atom): 78
Space-group type: No. 216
Crystal system: cubic
Total DFT energy (no corrections) (eV for the cell shown): -17.63

Cell and atoms, written as Quantum ESPRESSO input:
```
&SYSTEM
  ibrav = 0, nat = 6, ntyp = 3
/
ATOMIC_SPECIES
Mg 24.30 Mg.upf
Pb 207.20 Pb.upf
Br 79.90 Br.upf
CELL_PARAMETERS angstrom
0.0000 4.5985 4.5985
4.5985 0.0000 4.5985
4.5985 4.5985 0.0000
ATOMIC_POSITIONS angstrom
Mg 0.0000 0.0000 0.0000
Pb 5.7567 3.4403 3.4403
Pb 3.4403 5.7567 3.4403
Pb 3.4403 3.4403 5.7567
Pb 5.7567 5.7567 5.7567
Br 2.2992 2.2992 2.2992
```

***

MgPbBr | GGA-PBE | relaxed Values from VASP.

Uncorrected formation energy (meV/atom): -553
Space-group type: No. 156
Crystal system: trigonal
Energy above the lowest structure with this stoichiometry (eV per atom): 0.038
Total DFT energy (no corrections) (eV for the cell shown): -8.63

Cell and atoms, written as Quantum ESPRESSO input:
```
&SYSTEM
  ibrav = 0, nat = 3, ntyp = 3
/
ATOMIC_SPECIES
Mg 24.30 Mg.upf
Pb 207.20 Pb.upf
Br 79.90 Br.upf
CELL_PARAMETERS angstrom
3.6155 0.0000 0.0000
-1.8078 3.1312 0.0000
0.0000 0.0000 8.1362
ATOMIC_POSITIONS angstrom
Mg 0.0000 0.0000 0.0000
Pb 1.8078 1.0437 2.5435
Br 0.0000 2.0874 6.5001
```

***

MgPb2Br6 | GGA-PBE | relaxed Values from VASP.

Uncorrected formation energy (meV/atom): -1063
Space-group type: No. 136
Crystal system: tetragonal
Energy above the lowest structure with this stoichiometry (eV per atom): 0.020
Total DFT energy (no corrections) (eV for the cell shown): -57.23

Cell and atoms, written as Quantum ESPRESSO input:
```
&SYSTEM
  ibrav = 0, nat = 18, ntyp = 3
/
ATOMIC_SPECIES
Mg 24.30 Mg.upf
Pb 207.20 Pb.upf
Br 79.90 Br.upf
CELL_PARAMETERS angstrom
6.9250 0.0000 0.0000
0.0000 6.9250 0.0000
0.0000 0.0000 13.1836
ATOMIC_POSITIONS angstrom
Mg 0.0000 0.0000 0.0000
Mg 3.4625 3.4625 6.5918
Pb 0.0000 0.0000 4.4077
Pb 0.0000 0.0000 8.7759
Pb 3.4625 3.4625 2.1841
Pb 3.4625 3.4625 10.9994
Br 1.2982 1.2982 1.9853
Br 1.2982 1.2982 11.1983
Br 1.5130 1.5130 6.5918
Br 1.9494 4.9755 0.0000
Br 2.1643 4.7607 4.6065
Br 2.1643 4.7607 8.5771
Br 4.7607 2.1643 4.6065
Br 4.7607 2.1643 8.5771
Br 4.9755 1.9494 0.0000
Br 5.4119 5.4119 6.5918
Br 5.6268 5.6268 1.9853
Br 5.6268 5.6268 11.1983
```

***

Q: What is the total DFT energy (no corrections) in the twelfth record?
A: -57.23 eV for the cell shown

***

Q: Look up the uncorrected formation energy of the fourth one.
A: 241 meV/atom